(1)
Computed, not measured: a relaxed structure of Te2AuSe at the GGA-PBEsol level of DFT.

a = 4.0409 Å, b = 4.0409 Å, c = 20.7945 Å
α = 90.00°, β = 90.00°, γ = 120.00°
Last column: nearest neighbours and their distance in Å.
Space group R3m (No. 160, hexagonal axes)
Asymmetric unit:
Te1 0.0000 0.0000 0.0000 [3 per cell]  3 Au 2.82, 3 Te 3.08
Te2 0.0000 0.0000 0.2365 [3 per cell]  3 Te 3.08, 3 Se 3.09
Au1 0.0000 0.0000 0.7429 [3 per cell]  3 Se 2.68, 3 Te 2.82
Se1 0.0000 0.0000 0.4726 [3 per cell]  3 Au 2.68

Output
- Energy above the lowest structure with this stoichiometry: 41.3 meV/atom

=====

(2)
Computed, not measured: a relaxed structure of TiAuSe3 at the GGA-PBEsol level of DFT.

a = 4.9524 Å, b = 4.9524 Å, c = 4.9524 Å
α = 90.00°, β = 90.00°, γ = 90.00°
Last column: nearest neighbours and their distance in Å.
Space group Pm-3m (No. 221)
Asymmetric unit:
Ti1 0.0000 0.0000 0.0000 [1 per cell]  12 Se 3.50
Au1 0.5000 0.5000 0.5000 [1 per cell]  6 Se 2.48
Se1 0.0000 0.5000 0.5000 [3 per cell]  2 Au 2.48

=====

(3)
Computed, not measured: a relaxed structure of TiAu3Se at the GGA-PBEsol level of DFT.

a = 4.8767 Å, b = 4.8767 Å, c = 4.8767 Å
α = 90.00°, β = 90.00°, γ = 90.00°
Last column: nearest neighbours and their distance in Å.
Space group Pm-3m (No. 221)
Asymmetric unit:
Ti1 0.0000 0.0000 0.0000 [1 per cell]  6 Au 2.44
Au1 0.0000 0.0000 0.5000 [3 per cell]  2 Ti 2.44
Se1 0.5000 0.5000 0.5000 [1 per cell]  12 Au 3.45

=====

(4)
Computed, not measured: a relaxed structure of TlAu2Se at the GGA-PBEsol level of DFT.

a = 3.8271 Å, b = 4.1573 Å, c = 5.7988 Å
α = 90.00°, β = 90.00°, γ = 90.00°
Last column: nearest neighbours and their distance in Å.
Space group Pmmm (No. 47)
Asymmetric unit:
Tl1 0.0000 0.0000 0.0000 [1 per cell]  8 Au 3.13, 4 Se 3.47
Au1 0.5000 0.5000 0.2309 [2 per cell]  2 Se 2.60, 1 Au 2.68
Se1 0.5000 0.0000 0.5000 [1 per cell]  4 Au 2.60

=====

(5)
Computed, not measured: a relaxed structure of TlAu2Se at the GGA-PBEsol level of DFT.

a = 4.5728 Å, b = 4.5728 Å, c = 7.6672 Å
α = 90.00°, β = 90.00°, γ = 90.00°
Last column: nearest neighbours and their distance in Å.
Space group I4/mmm (No. 139)
Asymmetric unit:
Tl1 0.0000 0.0000 0.0000 [2 per cell]  8 Au 2.98, 4 Se 3.23
Au1 0.0000 0.5000 0.2500 [4 per cell]  4 Tl 2.98, 4 Se 2.98, 4 Au 3.23
Se1 0.0000 0.0000 0.5000 [2 per cell]  8 Au 2.98, 4 Tl 3.23

=====

(6)
Computed, not measured: a relaxed structure of TlAu2Se at the GGA-PBEsol level of DFT.

a = 3.7337 Å, b = 5.6559 Å, c = 8.2466 Å
α = 90.00°, β = 90.00°, γ = 90.00°
Last column: nearest neighbours and their distance in Å.
Space group Imm2 (No. 44)
Asymmetric unit:
Tl1 0.0000 0.0000 0.0000 [2 per cell]  2 Au 2.88, 2 Se 3.06
Au1 0.0000 0.0000 0.4989 [2 per cell]  2 Se 2.53, 2 Au 2.67
Au2 0.0000 0.5000 0.7666 [2 per cell]  2 Au 2.67, 2 Tl 2.88
Se1 0.0000 0.5000 0.2064 [2 per cell]  2 Au 2.53

=====

(7)
Computed, not measured: a relaxed structure of TlAu2Se at the GGA-PBEsol level of DFT.

a = 6.9035 Å, b = 4.1459 Å, c = 6.5410 Å
α = 90.00°, β = 112.51°, γ = 90.00°
Last column: nearest neighbours and their distance in Å.
Space group C2/m (No. 12)
Asymmetric unit:
Tl1 0.0000 0.0000 0.0000 [2 per cell]  6 Au 2.88
Au1 0.2406 0.0000 0.7249 [4 per cell]  3 Se 2.71-2.72, 3 Tl 2.88
Se1 0.0000 0.5000 0.5000 [2 per cell]  6 Au 2.71-2.72

=====

(8)
Computed, not measured: a relaxed structure of Tl2AuSe at the GGA-PBEsol level of DFT.

a = 4.0697 Å, b = 4.0864 Å, c = 11.8239 Å
α = 90.00°, β = 90.00°, γ = 90.00°
Last column: nearest neighbours and their distance in Å.
Space group Amm2 (No. 38)
Asymmetric unit:
Tl1 0.0000 0.0000 0.0000 [2 per cell]  1 Au 2.99, 4 Se 3.09
Tl2 0.5000 0.0000 0.3127 [2 per cell]  4 Au 2.99, 3 Se 3.30-3.32
Au1 0.0000 0.0000 0.7470 [2 per cell]  2 Se 2.73, 5 Tl 2.99
Se1 0.5000 0.0000 0.5931 [2 per cell]  2 Au 2.73

=====

(9)
Computed, not measured: a relaxed structure of WAuSe2 at the GGA-PBEsol level of DFT.

a = 3.0109 Å, b = 3.0109 Å, c = 8.2040 Å
α = 90.00°, β = 90.00°, γ = 90.00°
Last column: nearest neighbours and their distance in Å.
Space group P4/mmm (No. 123)
Asymmetric unit:
W1 0.0000 0.0000 0.0000 [1 per cell]  8 Se 2.64
Au1 0.0000 0.0000 0.5000 [1 per cell]  4 Au 3.01, 8 Se 3.32
Se1 0.5000 0.5000 0.1900 [2 per cell]  4 W 2.64

Output
- Energy above the lowest structure with this stoichiometry: 0.0 meV/atom

=====

(10)
Computed, not measured: a relaxed structure of WAu2Se at the GGA-PBEsol level of DFT.

a = 6.4261 Å, b = 6.4261 Å, c = 6.4261 Å
α = 90.00°, β = 90.00°, γ = 90.00°
Last column: nearest neighbours and their distance in Å.
Space group F-43m (No. 216)
Asymmetric unit:
W1 0.0000 0.0000 0.0000 [4 per cell]  4 Se 2.78, 4 Au 2.78
Au1 0.0000 0.0000 0.5000 [4 per cell]  4 Se 2.78, 4 Au 2.78
Au2 0.2500 0.2500 0.2500 [4 per cell]  4 W 2.78, 4 Au 2.78
Se1 0.2500 0.2500 0.7500 [4 per cell]  4 W 2.78, 4 Au 2.78

=====

(11)
Computed, not measured: a relaxed structure of WAuSe2 at the GGA-PBEsol level of DFT.

a = 3.1307 Å, b = 4.0192 Å, c = 5.5359 Å
α = 90.00°, β = 90.00°, γ = 90.00°
Last column: nearest neighbours and their distance in Å.
Space group Pmm2 (No. 25)
Asymmetric unit:
W1 0.0000 0.0000 0.0000 [1 per cell]  5 Se 2.47-2.65
Au1 0.5000 0.5000 0.3263 [1 per cell]  5 Se 2.55-2.84
Se1 0.0000 0.0000 0.5535 [1 per cell]  1 W 2.47
Se2 0.5000 0.5000 0.8649 [1 per cell]  1 Au 2.55, 4 W 2.65

Output
- Energy above the lowest structure with this stoichiometry: 293.5 meV/atom

=====

(12)
Computed, not measured: a relaxed structure of WAuSe2 at the GGA-PBEsol level of DFT.

a = 3.5226 Å, b = 3.4099 Å, c = 13.8777 Å
α = 90.00°, β = 90.00°, γ = 90.00°
Last column: nearest neighbours and their distance in Å.
Space group Amm2 (No. 38)
Asymmetric unit:
W1 0.0000 0.0000 0.0000 [2 per cell]  3 Se 2.44-2.50
Au1 0.5000 0.0000 0.5950 [2 per cell]  4 Se 2.72, 4 W 2.78
Se1 0.0000 0.0000 0.1804 [2 per cell]  1 W 2.50, 4 Au 2.72
Se2 0.5000 0.0000 0.8783 [2 per cell]  2 W 2.44

Output
- Energy above the lowest structure with this stoichiometry: 76.5 meV/atom

=====

| no. | formation energy from raw total energies (eV per atom) |
| --- | --- |
| 1 | -0.01 |
| 2 | 0.55 |
| 3 | 0.97 |
| 4 | 0.10 |
| 5 | 0.19 |
| 6 | 0.16 |
| 7 | 0.08 |
| 8 | -0.11 |
| 9 | 0.11 |
| 10 | 0.55 |
| 11 | 0.41 |
| 12 | 0.19 |